# 1
{
  "formula": "CsTl2HgBr4",
  "functional": "PBE",
  "state": "optimized geometry",
  "raw_formation_energy_ev_per_atom": -0.90,
  "m_tot_mub_per_cell": 0.00,
  "final_energy_ev_per_cell": -39.61,
  "dos_at_fermi_per_ev_fu": 1.33,
  "space_group": "No. 63",
  "density_kg_m3": 5293,
  "lattice_angstrom": [[-1.420, -2.264, -4.591], [7.916, 1.808, -0.267], [3.566, -14.706, 6.150]],
  "species": ["Cs", "Cs", "Tl", "Tl", "Tl", "Tl", "Hg", "Hg", "Br", "Br", "Br", "Br", "Br", "Br", "Br", "Br"],
  "frac_coords": [[0.143, 0.286, 0.750], [0.857, 0.714, 0.250], [0.373, 0.746, 0.542], [0.627, 0.254, 0.042], [0.627, 0.254, 0.458], [0.373, 0.746, 0.958], [0.888, 0.775, 0.750], [0.112, 0.225, 0.250], [0.258, 0.516, 0.121], [0.742, 0.484, 0.621], [0.742, 0.484, 0.879], [0.258, 0.516, 0.379], [0.000, 0.000, 0.500], [0.000, 0.000, 0.000], [0.435, 0.869, 0.750], [0.565, 0.131, 0.250]]
}

***

# 2
{
  "formula": "Cd2ReBH",
  "functional": "PBE",
  "state": "optimized geometry",
  "m_tot_mub_per_cell": 0.54,
  "final_energy_ev_per_cell": -16.28,
  "dos_at_fermi_per_ev_fu": 3.42,
  "space_group": "No. 123",
  "density_kg_m3": 7574,
  "lattice_angstrom": [[5.360, 0.000, 0.000], [0.000, 3.227, 0.000], [0.000, 0.000, 5.360]],
  "species": ["Re", "B", "H", "Cd", "Cd"],
  "frac_coords": [[0.000, 0.000, 0.000], [0.500, 0.500, 0.500], [0.000, 0.500, 0.000], [0.000, 0.000, 0.500], [0.500, 0.000, 0.000]]
}

***

# 3
{
  "formula": "Dy5Bi5C",
  "functional": "PBE",
  "state": "optimized geometry",
  "formation_energy_ev_per_atom": -0.469,
  "m_tot_mub_per_cell": 0.00,
  "final_energy_ev_per_cell": -56.79,
  "dos_at_fermi_per_ev_fu": 4.30,
  "space_group": "No. 12",
  "density_kg_m3": 9566,
  "lattice_angstrom": [[-2.496, -1.302, 5.359], [7.133, -0.497, -0.218], [-3.146, 8.677, 0.643]],
  "species": ["Dy", "Dy", "Dy", "Dy", "Dy", "Bi", "Bi", "Bi", "Bi", "Bi", "C"],
  "frac_coords": [[0.855, 0.710, 0.103], [0.847, 0.693, 0.723], [0.500, 0.000, 0.000], [0.153, 0.307, 0.277], [0.145, 0.290, 0.897], [0.717, 0.434, 0.336], [0.612, 0.224, 0.762], [0.000, 0.000, 0.500], [0.388, 0.776, 0.238], [0.283, 0.566, 0.664], [0.000, 0.000, 0.000]]
}